A PBEsol-optimized structure of Co2HOs2, computed with SCAN.

Computed properties:
The space-group type is I4/mmm (139). The value obtained for the total DFT energy (no corrections) is -35.002 eV/atom. Its density of states at the Fermi level is 4.32 states/eV per cell. For the magnetic moment, the calculation gives 3.35 μB per cell.

abc: 3.5507 3.5507 5.9784
angles: 107.28 107.28 90.00
With the nearest neighbours (Å) after each atom.
Fractional positions:
Os 0.2500 0.7500 0.5000  4 Co 2.43, 4 Os 2.51
Os 0.7500 0.2500 0.5000  4 Co 2.43, 4 Os 2.51
Co 0.5967 0.5967 0.1935  1 Co 2.10
Co 0.4033 0.4033 0.8065  1 Co 2.10
H 0.0000 0.0000 0.0000  8 Co 2.72


A PBEsol-optimized structure of CoP3H, computed with SCAN.

Computed properties:
The space-group type is Pm-3m (221). The value obtained for the total DFT energy (no corrections) is -9.414 eV/atom. Its density of states at the Fermi level is 2.15 states/eV per cell. For the magnetic moment, the calculation gives 0.00 μB per cell.

abc: 3.7653 3.7653 3.7653
angles: 90.00 90.00 90.00
With the nearest neighbours (Å) after each atom.
Fractional positions:
P 0.5000 0.0000 0.0000  2 H 1.88
P 0.0000 0.5000 0.0000  2 H 1.88
P 0.0000 0.0000 0.5000  2 H 1.88
H 0.0000 0.0000 0.0000  6 P 1.88
Co 0.5000 0.5000 0.5000  12 P 2.66


The highest total DFT energy (no corrections) belongs to which entry?
CoP3H